#one
! GaReAsSe2 | Alexandria via LeMat-Bulk | PBE | optimized geometry; values from VASP
! N(E_F) = 3.986 states/eV per cell
! total magnetic moment = 3.1 μB per formula unit
! crystal system = tetragonal
&SYSTEM
  ibrav = 0, nat = 5, ntyp = 4
/
ATOMIC_SPECIES
Ga 69.72 Ga.upf
Re 186.21 Re.upf
As 74.92 As.upf
Se 78.96 Se.upf
ATOMIC_POSITIONS angstrom
Ga 0.000 0.000 0.000
Re 2.444 2.444 2.419
As 0.000 0.000 2.419
Se 0.000 2.444 0.000
Se 2.444 0.000 0.000
CELL_PARAMETERS angstrom
4.888 0.000 0.000
0.000 4.888 0.000
0.000 0.000 4.837

#two
! GaReAsSe2 | Alexandria via LeMat-Bulk | PBE | optimized geometry; values from VASP
! N(E_F) = 4.866 states/eV per cell
! total magnetic moment = 0.0 μB per formula unit
! crystal system = tetragonal
&SYSTEM
  ibrav = 0, nat = 5, ntyp = 4
/
ATOMIC_SPECIES
Ga 69.72 Ga.upf
Re 186.21 Re.upf
As 74.92 As.upf
Se 78.96 Se.upf
ATOMIC_POSITIONS angstrom
Ga 0.000 0.000 0.000
Re 2.508 2.508 2.394
As 2.508 2.508 0.000
Se 0.000 2.508 2.394
Se 2.508 0.000 2.394
CELL_PARAMETERS angstrom
5.015 0.000 0.000
0.000 5.015 0.000
0.000 0.000 4.789

#two ends up most stable, edging out the next structure by 904 meV/atom.

#one
! Ga2AsRh2 | Alexandria via LeMat-Bulk | PBE | optimized geometry; values from VASP
! N(E_F) = 5.437 states/eV per cell
! total magnetic moment = 0.0 μB per formula unit
! crystal system = tetragonal
&SYSTEM
  ibrav = 0, nat = 10, ntyp = 3
/
ATOMIC_SPECIES
Ga 69.72 Ga.upf
As 74.92 As.upf
Rh 102.91 Rh.upf
ATOMIC_POSITIONS angstrom
Ga 1.053 2.597 0.000
Ga 2.597 6.247 0.000
Ga 4.704 1.053 0.000
Ga 6.247 4.704 0.000
As 0.000 0.000 1.457
As 3.650 3.650 1.457
Rh 1.115 4.766 1.457
Rh 2.535 1.115 1.457
Rh 4.766 6.185 1.457
Rh 6.185 2.535 1.457
CELL_PARAMETERS angstrom
7.300 0.000 0.000
0.000 7.300 0.000
0.000 0.000 2.913

#two
! Ga2AsRh2 | Alexandria via LeMat-Bulk | PBE | optimized geometry; values from VASP
! N(E_F) = 6.419 states/eV per cell
! total magnetic moment = 0.0 μB per formula unit
! crystal system = tetragonal
&SYSTEM
  ibrav = 0, nat = 5, ntyp = 3
/
ATOMIC_SPECIES
Ga 69.72 Ga.upf
As 74.92 As.upf
Rh 102.91 Rh.upf
ATOMIC_POSITIONS angstrom
Ga 0.000 0.000 1.215
Ga 0.000 0.000 8.302
As 0.000 0.000 4.758
Rh 2.147 0.000 2.379
Rh 0.000 2.147 2.379
CELL_PARAMETERS angstrom
-2.147 2.147 4.758
2.147 -2.147 4.758
2.147 2.147 -4.758

#one ends up most stable, edging out the next structure by 407 meV/atom.

#one
! Ga2AsRh2 | Alexandria via LeMat-Bulk | PBE | optimized geometry; values from VASP
! N(E_F) = 2.271 states/eV per cell
! total magnetic moment = 0.0 μB per formula unit
! crystal system = tetragonal
&SYSTEM
  ibrav = 0, nat = 5, ntyp = 3
/
ATOMIC_SPECIES
Ga 69.72 Ga.upf
As 74.92 As.upf
Rh 102.91 Rh.upf
ATOMIC_POSITIONS angstrom
Ga 1.783 0.000 3.163
Ga 0.000 1.783 3.163
As 0.000 0.000 0.000
Rh 0.000 0.000 4.982
Rh 0.000 0.000 7.670
CELL_PARAMETERS angstrom
-1.783 1.783 6.326
1.783 -1.783 6.326
1.783 1.783 -6.326

#two
! Ga2AsRh2 | Alexandria via LeMat-Bulk | PBE | optimized geometry; values from VASP
! N(E_F) = 2.895 states/eV per cell
! total magnetic moment = 0.0 μB per formula unit
! crystal system = tetragonal
&SYSTEM
  ibrav = 0, nat = 10, ntyp = 3
/
ATOMIC_SPECIES
Ga 69.72 Ga.upf
As 74.92 As.upf
Rh 102.91 Rh.upf
ATOMIC_POSITIONS angstrom
Ga 1.012 2.660 0.000
Ga 2.660 6.332 0.000
Ga 4.684 1.012 0.000
Ga 6.332 4.684 0.000
As 0.000 0.000 0.000
As 3.672 3.672 0.000
Rh 1.151 4.823 1.448
Rh 2.521 1.151 1.448
Rh 4.823 6.193 1.448
Rh 6.193 2.521 1.448
CELL_PARAMETERS angstrom
7.344 0.000 0.000
0.000 7.344 0.000
0.000 0.000 2.897

#two ends up most stable, edging out the next structure by 48 meV/atom.

#one
! GaAsRh3 | Alexandria via LeMat-Bulk | PBE | optimized geometry; values from VASP
! N(E_F) = 10.186 states/eV per cell
! total magnetic moment = 0.0 μB per formula unit
! crystal system = cubic
&SYSTEM
  ibrav = 0, nat = 5, ntyp = 3
/
ATOMIC_SPECIES
Ga 69.72 Ga.upf
As 74.92 As.upf
Rh 102.91 Rh.upf
ATOMIC_POSITIONS angstrom
Ga 0.000 0.000 0.000
As 2.265 2.265 2.265
Rh 0.000 2.265 2.265
Rh 2.265 0.000 2.265
Rh 2.265 2.265 0.000
CELL_PARAMETERS angstrom
4.530 0.000 0.000
0.000 4.530 0.000
0.000 0.000 4.530

#two
! GaAsRh3 | Alexandria via LeMat-Bulk | PBE | optimized geometry; values from VASP
! N(E_F) = 5.305 states/eV per cell
! total magnetic moment = 1.1 μB per formula unit
! crystal system = cubic
&SYSTEM
  ibrav = 0, nat = 5, ntyp = 3
/
ATOMIC_SPECIES
Ga 69.72 Ga.upf
As 74.92 As.upf
Rh 102.91 Rh.upf
ATOMIC_POSITIONS angstrom
Ga 0.000 0.000 0.000
As 2.270 2.270 2.270
Rh 0.000 0.000 2.270
Rh 0.000 2.270 0.000
Rh 2.270 0.000 0.000
CELL_PARAMETERS angstrom
4.541 0.000 0.000
0.000 4.541 0.000
0.000 0.000 4.541

#three
! GaAsRh3 | Alexandria via LeMat-Bulk | PBE | optimized geometry; values from VASP
! N(E_F) = 7.224 states/eV per cell
! total magnetic moment = 0.0 μB per formula unit
! crystal system = orthorhombic
&SYSTEM
  ibrav = 0, nat = 10, ntyp = 3
/
ATOMIC_SPECIES
Ga 69.72 Ga.upf
As 74.92 As.upf
Rh 102.91 Rh.upf
ATOMIC_POSITIONS angstrom
Ga 0.000 1.090 0.000
Ga 0.000 6.269 2.686
As 2.073 2.507 3.124
As 2.073 4.852 0.438
Rh 0.000 1.458 2.497
Rh 0.000 5.902 5.183
Rh 2.073 0.284 4.103
Rh 2.073 2.484 0.642
Rh 2.073 4.875 3.329
Rh 2.073 7.076 1.417
CELL_PARAMETERS angstrom
4.145 0.000 0.000
0.000 7.359 0.000
0.000 0.000 5.373

#three ends up most stable, edging out the next structure by 725 meV/atom.

#one
! GaAsRh | Alexandria via LeMat-Bulk | PBE | optimized geometry; values from VASP
! N(E_F) = 2.028 states/eV per cell
! total magnetic moment = 0.0 μB per formula unit
! crystal system = cubic
&SYSTEM
  ibrav = 0, nat = 3, ntyp = 3
/
ATOMIC_SPECIES
Ga 69.72 Ga.upf
As 74.92 As.upf
Rh 102.91 Rh.upf
ATOMIC_POSITIONS angstrom
Ga 0.000 0.000 0.000
As 2.976 2.976 2.976
Rh 1.488 1.488 1.488
CELL_PARAMETERS angstrom
0.000 2.976 2.976
2.976 0.000 2.976
2.976 2.976 0.000

#two
! GaAsRh | Alexandria via LeMat-Bulk | PBE | optimized geometry; values from VASP
! N(E_F) = 3.078 states/eV per cell
! total magnetic moment = 0.0 μB per formula unit
! crystal system = orthorhombic
&SYSTEM
  ibrav = 0, nat = 6, ntyp = 3
/
ATOMIC_SPECIES
Ga 69.72 Ga.upf
As 74.92 As.upf
Rh 102.91 Rh.upf
ATOMIC_POSITIONS angstrom
Ga 0.000 0.308 0.000
Ga 1.462 5.722 2.973
As 0.000 2.498 4.546
As 1.462 3.532 1.573
Rh 0.000 1.651 2.183
Rh 1.462 4.379 5.157
CELL_PARAMETERS angstrom
2.924 0.000 0.000
0.000 6.030 0.000
0.000 0.000 5.947

#one ends up most stable, edging out the next structure by 8 meV/atom.

#one
! GaAs2Ru2 | Alexandria via LeMat-Bulk | PBE | optimized geometry; values from VASP
! N(E_F) = 3.346 states/eV per cell
! total magnetic moment = 0.0 μB per formula unit
! crystal system = tetragonal
&SYSTEM
  ibrav = 0, nat = 5, ntyp = 3
/
ATOMIC_SPECIES
Ga 69.72 Ga.upf
As 74.92 As.upf
Ru 101.07 Ru.upf
ATOMIC_POSITIONS angstrom
Ga 0.000 0.000 0.000
As 1.905 0.000 2.946
As 0.000 1.905 2.946
Ru 0.000 0.000 4.516
Ru 0.000 0.000 7.266
CELL_PARAMETERS angstrom
-1.905 1.905 5.891
1.905 -1.905 5.891
1.905 1.905 -5.891

#two
! GaAs2Ru2 | Alexandria via LeMat-Bulk | PBE | optimized geometry; values from VASP
! N(E_F) = 7.074 states/eV per cell
! total magnetic moment = 0.0 μB per formula unit
! crystal system = tetragonal
&SYSTEM
  ibrav = 0, nat = 10, ntyp = 3
/
ATOMIC_SPECIES
Ga 69.72 Ga.upf
As 74.92 As.upf
Ru 101.07 Ru.upf
ATOMIC_POSITIONS angstrom
Ga 0.000 0.000 0.000
Ga 3.671 3.671 0.000
As 1.072 2.599 1.476
As 2.599 6.270 1.476
As 4.742 1.072 1.476
As 6.270 4.742 1.476
Ru 1.071 4.741 0.000
Ru 2.600 1.071 0.000
Ru 4.741 6.271 0.000
Ru 6.271 2.600 0.000
CELL_PARAMETERS angstrom
7.341 0.000 0.000
0.000 7.341 0.000
0.000 0.000 2.951

#two ends up most stable, edging out the next structure by 145 meV/atom.